Entry from the Alexandria database: a relaxed K2NpCrO6 crystal (PBE with a Hubbard U). Values from VASP.

- E_tot (eV per formula unit) = -74.62

```
&SYSTEM
  ibrav = 0, nat = 10, ntyp = 4
/
ATOMIC_SPECIES
K 39.10 K.upf
Np 237.00 Np.upf
Cr 52.00 Cr.upf
O 16.00 O.upf
CELL_PARAMETERS angstrom
0.0000 4.0791 4.0791
4.0791 0.0000 4.0791
4.0791 4.0791 0.0000
ATOMIC_POSITIONS angstrom
K 2.0395 2.0395 2.0395
K 6.1186 6.1186 6.1186
Np 0.0000 0.0000 0.0000
Cr 4.0791 4.0791 4.0791
O 4.0791 4.0791 2.0377
O 4.0791 2.0377 4.0791
O 6.1204 4.0791 4.0791
O 2.0377 4.0791 4.0791
O 4.0791 6.1204 4.0791
O 4.0791 4.0791 6.1204
```